[1]
# BaSrAsSe2 PBEsol optimized geometry
# - ΔE_f (raw) (eV/f.u.) = -3.16
# - space-group type = P4/mmm (123)
# - DOS(E_F) (states/eV/f.u.) = 4.8
data_BaSrAsSe2
_cell_length_a 5.636
_cell_length_b 5.636
_cell_length_c 5.447
_cell_angle_alpha 90.00
_cell_angle_beta 90.00
_cell_angle_gamma 90.00
_space_group_name_H-M_alt 'P 1'
_space_group_IT_number 1
loop_
_space_group_symop_operation_xyz
'x,y,z'
loop_
_atom_site_label
_atom_site_type_symbol
_atom_site_fract_x
_atom_site_fract_y
_atom_site_fract_z
_atom_site_occupancy
Ba1 Ba 0.000 0.000 0.000 1
Sr1 Sr 0.500 0.500 0.500 1
As1 As 0.500 0.500 0.000 1
Se1 Se 0.000 0.500 0.500 1
Se2 Se 0.500 0.000 0.500 1

[2]
# BaTaAs2Se PBEsol optimized geometry
# - ΔE_f (raw) (eV/f.u.) = -3.55
# - space-group type = P4/mmm (123)
# - DOS(E_F) (states/eV/f.u.) = 2.6
data_BaTaAs2Se
_cell_length_a 5.001
_cell_length_b 5.001
_cell_length_c 5.131
_cell_angle_alpha 90.00
_cell_angle_beta 90.00
_cell_angle_gamma 90.00
_space_group_name_H-M_alt 'P 1'
_space_group_IT_number 1
loop_
_space_group_symop_operation_xyz
'x,y,z'
loop_
_atom_site_label
_atom_site_type_symbol
_atom_site_fract_x
_atom_site_fract_y
_atom_site_fract_z
_atom_site_occupancy
Ba1 Ba 0.000 0.000 0.000 1
Ta1 Ta 0.500 0.500 0.500 1
As1 As 0.000 0.500 0.500 1
As2 As 0.500 0.000 0.500 1
Se1 Se 0.500 0.500 0.000 1

[3]
# BaTaAs2Se PBEsol optimized geometry
# - ΔE_f (raw) (eV/f.u.) = 9.26
# - space-group type = P4/mmm (123)
# - DOS(E_F) (states/eV/f.u.) = 7.4
data_BaTaAs2Se
_cell_length_a 5.460
_cell_length_b 5.460
_cell_length_c 5.600
_cell_angle_alpha 90.00
_cell_angle_beta 90.00
_cell_angle_gamma 90.00
_space_group_name_H-M_alt 'P 1'
_space_group_IT_number 1
loop_
_space_group_symop_operation_xyz
'x,y,z'
loop_
_atom_site_label
_atom_site_type_symbol
_atom_site_fract_x
_atom_site_fract_y
_atom_site_fract_z
_atom_site_occupancy
Ba1 Ba 0.000 0.000 0.000 1
Ta1 Ta 0.500 0.500 0.500 1
As1 As 0.000 0.500 0.000 1
As2 As 0.500 0.000 0.000 1
Se1 Se 0.000 0.000 0.500 1

[4]
# BaTlAsSe2 PBEsol optimized geometry
# - ΔE_f (raw) (eV/f.u.) = -1.51
# - space-group type = P4/mmm (123)
# - DOS(E_F) (states/eV/f.u.) = 5.5
data_BaTlAsSe2
_cell_length_a 5.435
_cell_length_b 5.435
_cell_length_c 5.181
_cell_angle_alpha 90.00
_cell_angle_beta 90.00
_cell_angle_gamma 90.00
_space_group_name_H-M_alt 'P 1'
_space_group_IT_number 1
loop_
_space_group_symop_operation_xyz
'x,y,z'
loop_
_atom_site_label
_atom_site_type_symbol
_atom_site_fract_x
_atom_site_fract_y
_atom_site_fract_z
_atom_site_occupancy
Ba1 Ba 0.000 0.000 0.000 1
Tl1 Tl 0.500 0.500 0.500 1
As1 As 0.500 0.500 0.000 1
Se1 Se 0.000 0.500 0.500 1
Se2 Se 0.500 0.000 0.500 1

[5]
# Ba4SiAs PBEsol optimized geometry
# - ΔE_f (raw) (eV/f.u.) = 2.50
# - space-group type = F-43m (216)
# - DOS(E_F) (states/eV/f.u.) = 6.1
data_Ba4SiAs
_cell_length_a 6.715
_cell_length_b 6.715
_cell_length_c 6.715
_cell_angle_alpha 60.00
_cell_angle_beta 60.00
_cell_angle_gamma 60.00
_space_group_name_H-M_alt 'P 1'
_space_group_IT_number 1
loop_
_space_group_symop_operation_xyz
'x,y,z'
loop_
_atom_site_label
_atom_site_type_symbol
_atom_site_fract_x
_atom_site_fract_y
_atom_site_fract_z
_atom_site_occupancy
Ba1 Ba 0.125 0.125 0.125 1
Ba2 Ba 0.125 0.125 0.626 1
Ba3 Ba 0.125 0.626 0.125 1
Ba4 Ba 0.626 0.125 0.125 1
Si1 Si 0.500 0.500 0.500 1
As1 As 0.750 0.750 0.750 1

[6]
# Ba2SiAs PBEsol optimized geometry
# - ΔE_f (raw) (eV/f.u.) = -1.06
# - space-group type = Pmmm (47)
# - DOS(E_F) (states/eV/f.u.) = 3.1
data_Ba2SiAs
_cell_length_a 3.645
_cell_length_b 5.569
_cell_length_c 6.634
_cell_angle_alpha 90.00
_cell_angle_beta 90.00
_cell_angle_gamma 90.00
_space_group_name_H-M_alt 'P 1'
_space_group_IT_number 1
loop_
_space_group_symop_operation_xyz
'x,y,z'
loop_
_atom_site_label
_atom_site_type_symbol
_atom_site_fract_x
_atom_site_fract_y
_atom_site_fract_z
_atom_site_occupancy
Ba1 Ba 0.000 0.000 0.000 1
Ba2 Ba 0.500 0.500 0.500 1
Si1 Si 0.000 0.000 0.500 1
As1 As 0.500 0.500 0.000 1

[7]
# BaSiAs2 PBEsol optimized geometry
# - ΔE_f (raw) (eV/f.u.) = -0.98
# - space-group type = R-3m (166)
# - DOS(E_F) (states/eV/f.u.) = 2.5
data_BaSiAs2
_cell_length_a 7.594
_cell_length_b 7.594
_cell_length_c 7.594
_cell_angle_alpha 30.10
_cell_angle_beta 30.10
_cell_angle_gamma 30.10
_space_group_name_H-M_alt 'P 1'
_space_group_IT_number 1
loop_
_space_group_symop_operation_xyz
'x,y,z'
loop_
_atom_site_label
_atom_site_type_symbol
_atom_site_fract_x
_atom_site_fract_y
_atom_site_fract_z
_atom_site_occupancy
Ba1 Ba 0.000 0.000 0.000 1
Si1 Si 0.500 0.500 0.500 1
As1 As 0.225 0.225 0.225 1
As2 As 0.775 0.775 0.775 1

[8]
# Ba4SiAs4 PBEsol optimized geometry
# - ΔE_f (raw) (eV/f.u.) = -8.96
# - space-group type = P-43n (218)
data_Ba4SiAs4
_cell_length_a 13.281
_cell_length_b 13.281
_cell_length_c 13.281
_cell_angle_alpha 90.00
_cell_angle_beta 90.00
_cell_angle_gamma 90.00
_space_group_name_H-M_alt 'P 1'
_space_group_IT_number 1
loop_
_space_group_symop_operation_xyz
'x,y,z'
loop_
_atom_site_label
_atom_site_type_symbol
_atom_site_fract_x
_atom_site_fract_y
_atom_site_fract_z
_atom_site_occupancy
Ba1 Ba 0.095 0.132 0.645 1
Ba2 Ba 0.095 0.868 0.355 1
Ba3 Ba 0.132 0.355 0.905 1
Ba4 Ba 0.132 0.645 0.095 1
Ba5 Ba 0.145 0.145 0.145 1
Ba6 Ba 0.145 0.368 0.405 1
Ba7 Ba 0.145 0.632 0.595 1
Ba8 Ba 0.145 0.855 0.855 1
Ba9 Ba 0.355 0.095 0.868 1
Ba10 Ba 0.355 0.355 0.645 1
Ba11 Ba 0.355 0.645 0.355 1
Ba12 Ba 0.355 0.905 0.132 1
Ba13 Ba 0.368 0.405 0.145 1
Ba14 Ba 0.368 0.595 0.855 1
Ba15 Ba 0.405 0.145 0.368 1
Ba16 Ba 0.405 0.855 0.632 1
Ba17 Ba 0.595 0.145 0.632 1
Ba18 Ba 0.595 0.855 0.368 1
Ba19 Ba 0.632 0.405 0.855 1
Ba20 Ba 0.632 0.595 0.145 1
Ba21 Ba 0.645 0.095 0.132 1
Ba22 Ba 0.645 0.355 0.355 1
Ba23 Ba 0.645 0.645 0.645 1
Ba24 Ba 0.645 0.905 0.868 1
Ba25 Ba 0.855 0.145 0.855 1
Ba26 Ba 0.855 0.368 0.595 1
Ba27 Ba 0.855 0.632 0.405 1
Ba28 Ba 0.855 0.855 0.145 1
Ba29 Ba 0.868 0.355 0.095 1
Ba30 Ba 0.868 0.645 0.905 1
Ba31 Ba 0.905 0.132 0.355 1
Ba32 Ba 0.905 0.868 0.645 1
Si1 Si 0.000 0.000 0.000 1
Si2 Si 0.000 0.500 0.250 1
Si3 Si 0.000 0.500 0.750 1
Si4 Si 0.250 0.000 0.500 1
Si5 Si 0.500 0.250 0.000 1
Si6 Si 0.500 0.500 0.500 1
Si7 Si 0.500 0.750 0.000 1
Si8 Si 0.750 0.000 0.500 1
As1 As 0.104 0.104 0.896 1
As2 As 0.104 0.388 0.651 1
As3 As 0.104 0.612 0.349 1
As4 As 0.104 0.896 0.104 1
As5 As 0.112 0.396 0.151 1
As6 As 0.112 0.604 0.849 1
As7 As 0.151 0.112 0.396 1
As8 As 0.151 0.888 0.604 1
As9 As 0.349 0.104 0.612 1
As10 As 0.349 0.896 0.388 1
As11 As 0.388 0.349 0.896 1
As12 As 0.388 0.651 0.104 1
As13 As 0.396 0.151 0.112 1
As14 As 0.396 0.396 0.396 1
As15 As 0.396 0.604 0.604 1
As16 As 0.396 0.849 0.888 1
As17 As 0.604 0.151 0.888 1
As18 As 0.604 0.396 0.604 1
As19 As 0.604 0.604 0.396 1
As20 As 0.604 0.849 0.112 1
As21 As 0.612 0.349 0.104 1
As22 As 0.612 0.651 0.896 1
As23 As 0.651 0.104 0.388 1
As24 As 0.651 0.896 0.612 1
As25 As 0.849 0.112 0.604 1
As26 As 0.849 0.888 0.396 1
As27 As 0.888 0.396 0.849 1
As28 As 0.888 0.604 0.151 1
As29 As 0.896 0.104 0.104 1
As30 As 0.896 0.388 0.349 1
As31 As 0.896 0.612 0.651 1
As32 As 0.896 0.896 0.896 1

[9]
# Ba2SiAs PBEsol optimized geometry
# - ΔE_f (raw) (eV/f.u.) = -0.88
# - space-group type = Cmm2 (35)
# - DOS(E_F) (states/eV/f.u.) = 3.8
data_Ba2SiAs
_cell_length_a 3.656
_cell_length_b 3.656
_cell_length_c 9.447
_cell_angle_alpha 90.00
_cell_angle_beta 90.00
_cell_angle_gamma 90.95
_space_group_name_H-M_alt 'P 1'
_space_group_IT_number 1
loop_
_space_group_symop_operation_xyz
'x,y,z'
loop_
_atom_site_label
_atom_site_type_symbol
_atom_site_fract_x
_atom_site_fract_y
_atom_site_fract_z
_atom_site_occupancy
Ba1 Ba 0.000 0.000 0.000 1
Ba2 Ba 0.500 0.500 0.419 1
Si1 Si 0.000 0.000 0.665 1
As1 As 0.500 0.500 0.755 1

[10]
# BaSiAs2 PBEsol optimized geometry
# - ΔE_f (raw) (eV/f.u.) = -2.52
# - space-group type = I-42d (122)
data_BaSiAs2
_cell_length_a 6.512
_cell_length_b 6.512
_cell_length_c 6.512
_cell_angle_alpha 111.27
_cell_angle_beta 111.27
_cell_angle_gamma 105.93
_space_group_name_H-M_alt 'P 1'
_space_group_IT_number 1
loop_
_space_group_symop_operation_xyz
'x,y,z'
loop_
_atom_site_label
_atom_site_type_symbol
_atom_site_fract_x
_atom_site_fract_y
_atom_site_fract_z
_atom_site_occupancy
Ba1 Ba 0.000 0.000 0.000 1
Ba2 Ba 0.750 0.250 0.500 1
Si1 Si 0.250 0.750 0.500 1
Si2 Si 0.500 0.500 0.000 1
As1 As 0.221 0.125 0.596 1
As2 As 0.375 0.779 0.904 1
As3 As 0.529 0.625 0.404 1
As4 As 0.875 0.471 0.096 1

[11]
# BaSiAs2 PBEsol optimized geometry
# - ΔE_f (raw) (eV/f.u.) = -0.11
# - space-group type = I4/mmm (139)
# - DOS(E_F) (states/eV/f.u.) = 1.9
data_BaSiAs2
_cell_length_a 5.440
_cell_length_b 5.440
_cell_length_c 5.440
_cell_angle_alpha 129.25
_cell_angle_beta 129.25
_cell_angle_gamma 74.61
_space_group_name_H-M_alt 'P 1'
_space_group_IT_number 1
loop_
_space_group_symop_operation_xyz
'x,y,z'
loop_
_atom_site_label
_atom_site_type_symbol
_atom_site_fract_x
_atom_site_fract_y
_atom_site_fract_z
_atom_site_occupancy
Ba1 Ba 0.000 0.000 0.000 1
Si1 Si 0.500 0.500 0.000 1
As1 As 0.250 0.750 0.500 1
As2 As 0.750 0.250 0.500 1

[12]
# Ba2SnAs2 PBEsol optimized geometry
# - formation energy (meV per atom) = -840.6
# - space-group type = P4/mbm (127)
# - DOS(E_F) (states/eV/f.u.) = 2.6
data_Ba2SnAs2
_cell_length_a 7.862
_cell_length_b 7.862
_cell_length_c 4.847
_cell_angle_alpha 90.00
_cell_angle_beta 90.00
_cell_angle_gamma 90.00
_space_group_name_H-M_alt 'P 1'
_space_group_IT_number 1
loop_
_space_group_symop_operation_xyz
'x,y,z'
loop_
_atom_site_label
_atom_site_type_symbol
_atom_site_fract_x
_atom_site_fract_y
_atom_site_fract_z
_atom_site_occupancy
Ba1 Ba 0.181 0.319 0.000 1
Ba2 Ba 0.319 0.819 0.000 1
Ba3 Ba 0.681 0.181 0.000 1
Ba4 Ba 0.819 0.681 0.000 1
Sn1 Sn 0.000 0.000 0.500 1
Sn2 Sn 0.500 0.500 0.500 1
As1 As 0.114 0.614 0.500 1
As2 As 0.386 0.114 0.500 1
As3 As 0.614 0.886 0.500 1
As4 As 0.886 0.386 0.500 1

no.,M_tot (μB per formula unit)
1,0.0
2,0.0
3,1.9
4,0.5
5,0.0
6,0.0
7,0.0
8,0.0
9,0.0
10,0.0
11,0.0
12,0.0